<w>
Computed, not measured: YPd2Pt2 after structural relaxation at the PBE level of DFT.

Cell: 7.187 7.187 3.546 Å, 90.00 90.00 90.00°
Positions (direct):
Y (0.000, 0.000, 0.000)
Y (0.500, 0.500, 0.000)
Pd (0.164, 0.336, 0.500)
Pd (0.336, 0.836, 0.500)
Pd (0.664, 0.164, 0.500)
Pd (0.836, 0.664, 0.500)
Pt (0.134, 0.634, 0.000)
Pt (0.366, 0.134, 0.000)
Pt (0.634, 0.866, 0.000)
Pt (0.866, 0.366, 0.000)

<x>
Computed, not measured: YPd2Pt2 after structural relaxation at the PBE level of DFT.

Cell: 7.238 7.238 3.443 Å, 90.00 90.00 90.00°
Positions (direct):
Y (0.000, 0.000, 0.000)
Y (0.500, 0.500, 0.000)
Pd (0.133, 0.367, 0.000)
Pd (0.367, 0.867, 0.000)
Pd (0.633, 0.133, 0.000)
Pd (0.867, 0.633, 0.000)
Pt (0.165, 0.665, 0.500)
Pt (0.335, 0.165, 0.500)
Pt (0.665, 0.835, 0.500)
Pt (0.835, 0.335, 0.500)

Least stable: <x>

<w>
Computed, not measured: Y2Pd6Pt after structural relaxation at the PBE level of DFT.

Cell: 5.576 5.576 6.235 Å, 90.15 90.15 59.95°
Positions (direct):
Y (0.167, 0.167, 0.150)
Y (0.833, 0.833, 0.850)
Pd (0.154, 0.673, 0.325)
Pd (0.327, 0.327, 0.674)
Pd (0.327, 0.846, 0.675)
Pd (0.673, 0.154, 0.325)
Pd (0.673, 0.673, 0.326)
Pd (0.846, 0.327, 0.675)
Pt (0.500, 0.500, 0.000)

<x>
Computed, not measured: Y2Pd6Pt after structural relaxation at the PBE level of DFT.

Cell: 5.093 5.093 7.140 Å, 91.39 91.39 120.71°
Positions (direct):
Y (0.191, 0.191, 0.313)
Y (0.809, 0.809, 0.687)
Pd (0.148, 0.480, 0.666)
Pd (0.178, 0.822, 0.000)
Pd (0.480, 0.148, 0.666)
Pd (0.520, 0.852, 0.334)
Pd (0.822, 0.178, 0.000)
Pd (0.852, 0.520, 0.334)
Pt (0.500, 0.500, 0.000)

Least stable: <w>

<w>
Computed, not measured: Y7Pd2Pt2 after structural relaxation at the PBE level of DFT.

Cell: 6.703 6.703 7.052 Å, 90.09 90.09 74.90°
Positions (direct):
Y (0.000, 0.000, 0.000)
Y (0.000, 0.500, 0.262)
Y (0.000, 0.500, 0.738)
Y (0.500, 0.000, 0.262)
Y (0.500, 0.000, 0.738)
Y (0.500, 0.500, 0.258)
Y (0.500, 0.500, 0.742)
Pd (0.208, 0.792, 0.500)
Pd (0.792, 0.208, 0.500)
Pt (0.282, 0.282, 0.000)
Pt (0.718, 0.718, 0.000)

<x>
Computed, not measured: Y7Pd2Pt2 after structural relaxation at the PBE level of DFT.

Cell: 9.286 9.286 9.286 Å, 156.14 67.54 117.87°
Positions (direct):
Y (0.000, 0.000, 0.000)
Y (0.100, 0.407, 0.693)
Y (0.142, 0.765, 0.377)
Y (0.389, 0.765, 0.623)
Y (0.501, 0.616, 0.885)
Y (0.714, 0.407, 0.307)
Y (0.731, 0.616, 0.115)
Pd (0.373, 0.373, 0.000)
Pd (0.778, 0.278, 0.500)
Pt (0.355, 0.116, 0.240)
Pt (0.876, 0.116, 0.760)

Least stable: <w>

<w>
Computed, not measured: ZnPd5Pt4 after structural relaxation at the PBE level of DFT.

Cell: 8.185 8.884 4.742 Å, 90.00 90.00 90.00°
Positions (direct):
Zn (0.250, 0.250, 0.056)
Zn (0.750, 0.750, 0.944)
Pd (0.083, 0.007, 0.256)
Pd (0.083, 0.493, 0.256)
Pd (0.250, 0.750, 0.418)
Pd (0.417, 0.007, 0.256)
Pd (0.417, 0.493, 0.256)
Pd (0.583, 0.507, 0.744)
Pd (0.583, 0.993, 0.744)
Pd (0.750, 0.250, 0.582)
Pd (0.917, 0.507, 0.744)
Pd (0.917, 0.993, 0.744)
Pt (0.078, 0.750, 0.916)
Pt (0.250, 0.005, 0.752)
Pt (0.250, 0.495, 0.752)
Pt (0.422, 0.750, 0.916)
Pt (0.578, 0.250, 0.084)
Pt (0.750, 0.505, 0.248)
Pt (0.750, 0.995, 0.248)
Pt (0.922, 0.250, 0.084)

<x>
Computed, not measured: ZnPd5Pt4 after structural relaxation at the PBE level of DFT.

Cell: 2.787 3.913 14.035 Å, 90.00 90.00 90.00°
Positions (direct):
Zn (0.000, 0.000, 0.000)
Pd (0.500, 0.500, 0.097)
Pd (0.500, 0.500, 0.298)
Pd (0.500, 0.500, 0.500)
Pd (0.500, 0.500, 0.702)
Pd (0.500, 0.500, 0.903)
Pt (0.000, 0.000, 0.198)
Pt (0.000, 0.000, 0.400)
Pt (0.000, 0.000, 0.600)
Pt (0.000, 0.000, 0.802)

Least stable: <w>

<w>
Computed, not measured: ZnPdPt3 after structural relaxation at the PBE level of DFT.

Cell: 4.582 4.582 4.582 Å, 90.00 90.00 90.00°
Positions (direct):
Zn (0.000, 0.000, 0.000)
Pd (0.500, 0.500, 0.500)
Pt (0.000, 0.000, 0.500)
Pt (0.000, 0.500, 0.000)
Pt (0.500, 0.000, 0.000)

<x>
Computed, not measured: ZnPdPt3 after structural relaxation at the PBE level of DFT.

Cell: 6.824 6.632 7.094 Å, 90.00 90.00 90.00°
Positions (direct):
Zn (0.203, 0.250, 0.089)
Zn (0.297, 0.750, 0.589)
Zn (0.703, 0.250, 0.411)
Zn (0.797, 0.750, 0.911)
Pd (0.000, 0.000, 0.500)
Pd (0.000, 0.500, 0.500)
Pd (0.500, 0.000, 0.000)
Pd (0.500, 0.500, 0.000)
Pt (0.129, 0.548, 0.858)
Pt (0.129, 0.952, 0.858)
Pt (0.147, 0.750, 0.205)
Pt (0.353, 0.250, 0.705)
Pt (0.371, 0.048, 0.358)
Pt (0.371, 0.452, 0.358)
Pt (0.629, 0.548, 0.642)
Pt (0.629, 0.952, 0.642)
Pt (0.647, 0.750, 0.295)
Pt (0.853, 0.250, 0.795)
Pt (0.871, 0.048, 0.142)
Pt (0.871, 0.452, 0.142)

<y>
Computed, not measured: ZnPdPt3 after structural relaxation at the PBE level of DFT.

Cell: 4.782 4.624 7.308 Å, 90.00 108.13 90.00°
Positions (direct):
Zn (0.025, 0.250, 0.389)
Zn (0.975, 0.750, 0.611)
Pd (0.232, 0.250, 0.793)
Pd (0.768, 0.750, 0.207)
Pt (0.172, 0.750, 0.008)
Pt (0.363, 0.750, 0.409)
Pt (0.425, 0.250, 0.202)
Pt (0.575, 0.750, 0.798)
Pt (0.637, 0.250, 0.591)
Pt (0.828, 0.250, 0.992)

Least stable: <w>